Entry from the Alexandria database: a relaxed Ce3Sm2DyP6 crystal (PBE-GGA).

Properties
Volume ... 24.00 Å³ per atom
Total magnetic moment ... 0.122 μB per atom
E_form ... -1.55 eV per atom

abc: 7.069 7.069 7.060
angles: 99.61 99.61 120.01
Sites, in units of the cell vectors:
Ce: 0.167 0.833 0.500
Ce: 0.833 0.167 0.500
Ce: 0.500 0.500 0.500
Sm: 0.334 0.666 0.000
Sm: 0.666 0.334 0.000
Dy: 0.000 0.000 0.000
P: 0.916 0.586 0.749
P: 0.754 0.754 0.252
P: 0.084 0.414 0.251
P: 0.586 0.916 0.749
P: 0.246 0.246 0.748
P: 0.414 0.084 0.251

=====

Entry from the Alexandria database: a relaxed Ce3Sm4DyP8 crystal (PBE-GGA).

Properties
Volume ... 24.09 Å³ per atom
Total magnetic moment ... 0.084 μB per atom
E_form ... -1.56 eV per atom

abc: 8.168 8.169 8.166
angles: 119.98 120.01 90.00
Sites, in units of the cell vectors:
Ce: 0.500 0.500 0.000
Ce: 0.500 0.500 0.500
Ce: 0.000 0.500 0.500
Sm: 0.500 0.000 0.000
Sm: 0.500 0.000 0.500
Sm: 0.000 0.000 0.000
Sm: 0.000 0.000 0.500
Dy: 0.000 0.500 0.000
P: 0.248 0.745 0.997
P: 0.248 0.745 0.496
P: 0.251 0.254 0.502
P: 0.749 0.745 0.997
P: 0.251 0.255 0.003
P: 0.749 0.746 0.498
P: 0.752 0.255 0.504
P: 0.752 0.255 0.003

=====

Entry from the Alexandria database: a relaxed SrCe2DyP4 crystal (PBE-GGA).

Properties
Volume ... 25.02 Å³ per atom
Total magnetic moment ... 0.111 μB per atom
E_form ... -1.40 eV per atom

abc: 4.134 7.128 7.204
angles: 70.54 90.00 90.00
Sites, in units of the cell vectors:
Sr: 0.500 0.500 0.000
Ce: 0.000 0.000 0.000
Ce: 0.500 0.000 0.500
Dy: 0.000 0.500 0.500
P: 0.000 0.767 0.732
P: 0.000 0.233 0.268
P: 0.500 0.755 0.259
P: 0.500 0.245 0.741

=====

Entry from the Alexandria database: a relaxed Tb3CeDy2P6 crystal (PBE-GGA).

Properties
Volume ... 23.09 Å³ per atom
Total magnetic moment ... 0.022 μB per atom
E_form ... -1.60 eV per atom

abc: 6.973 6.973 6.978
angles: 99.59 99.59 119.99
Sites, in units of the cell vectors:
Tb: 0.167 0.833 0.500
Tb: 0.833 0.167 0.500
Tb: 0.500 0.500 0.500
Ce: 0.000 0.000 0.000
Dy: 0.333 0.667 0.000
Dy: 0.667 0.333 0.000
P: 0.917 0.584 0.751
P: 0.750 0.750 0.248
P: 0.083 0.416 0.249
P: 0.584 0.917 0.751
P: 0.250 0.250 0.752
P: 0.416 0.083 0.249

=====

Entry from the Alexandria database: a relaxed TbCeDy2P4 crystal (PBE-GGA).

Properties
Volume ... 23.12 Å³ per atom
Total magnetic moment ... 0.050 μB per atom
E_form ... -1.59 eV per atom

abc: 4.032 6.976 6.973
angles: 109.41 90.00 90.00
Sites, in units of the cell vectors:
Tb: 0.000 0.000 0.000
Ce: 0.500 0.500 0.000
Dy: 0.500 0.000 0.500
Dy: 0.000 0.500 0.500
P: 0.500 0.251 0.251
P: 0.500 0.749 0.749
P: 0.000 0.249 0.748
P: 0.000 0.751 0.252

=====

Entry from the Alexandria database: a relaxed TbCe2DyP4 crystal (PBE-GGA).

Properties
Volume ... 23.50 Å³ per atom
Total magnetic moment ... 0.125 μB per atom
E_form ... -1.56 eV per atom

abc: 4.054 7.007 7.022
angles: 70.49 90.00 90.00
Sites, in units of the cell vectors:
Tb: 0.500 0.500 0.000
Ce: 0.000 0.000 0.000
Ce: 0.500 0.000 0.500
Dy: 0.000 0.500 0.500
P: 0.000 0.748 0.750
P: 0.000 0.252 0.250
P: 0.500 0.747 0.252
P: 0.500 0.253 0.748

=====

Entry from the Alexandria database: a relaxed TbCe2Dy3P6 crystal (PBE-GGA).

Properties
Volume ... 23.20 Å³ per atom
Total magnetic moment ... 0.067 μB per atom
E_form ... -1.58 eV per atom

abc: 6.989 6.989 6.981
angles: 99.60 99.60 120.00
Sites, in units of the cell vectors:
Tb: 0.000 0.000 0.000
Ce: 0.333 0.667 0.000
Ce: 0.667 0.333 0.000
Dy: 0.167 0.833 0.500
Dy: 0.833 0.167 0.500
Dy: 0.500 0.500 0.500
P: 0.916 0.583 0.749
P: 0.751 0.751 0.253
P: 0.084 0.417 0.251
P: 0.583 0.916 0.749
P: 0.249 0.249 0.747
P: 0.417 0.084 0.251

=====

Entry from the Alexandria database: a relaxed Ce3DyTh4P8 crystal (PBE-GGA).

Properties
Volume ... 24.51 Å³ per atom
Total magnetic moment ... 0.065 μB per atom
E_form ... -1.55 eV per atom

abc: 8.224 8.208 8.224
angles: 120.07 120.00 90.00
Sites, in units of the cell vectors:
Ce: 0.500 0.500 0.000
Ce: 0.500 0.500 0.500
Ce: 0.000 0.500 0.500
Dy: 0.000 0.500 0.000
Th: 0.500 0.000 0.000
Th: 0.500 0.000 0.500
Th: 0.000 0.000 0.000
Th: 0.000 0.000 0.500
P: 0.248 0.745 0.998
P: 0.248 0.745 0.495
P: 0.251 0.254 0.502
P: 0.750 0.745 0.998
P: 0.250 0.255 0.002
P: 0.749 0.746 0.498
P: 0.752 0.255 0.505
P: 0.752 0.255 0.002

=====

Entry from the Alexandria database: a relaxed CeDy2Th3P6 crystal (PBE-GGA).

Properties
Volume ... 24.21 Å³ per atom
Total magnetic moment ... 0.037 μB per atom
E_form ... -1.57 eV per atom

abc: 7.097 7.097 7.069
angles: 99.63 99.63 120.00
Sites, in units of the cell vectors:
Ce: 0.000 0.000 0.000
Dy: 0.333 0.667 0.000
Dy: 0.667 0.333 0.000
Th: 0.166 0.834 0.500
Th: 0.834 0.166 0.500
Th: 0.500 0.500 0.500
P: 0.919 0.583 0.756
P: 0.746 0.746 0.243
P: 0.081 0.417 0.244
P: 0.583 0.919 0.756
P: 0.254 0.254 0.757
P: 0.417 0.081 0.244

=====

Entry from the Alexandria database: a relaxed Ce3Dy2ThP6 crystal (PBE-GGA).

Properties
Volume ... 23.94 Å³ per atom
Total magnetic moment ... 0.146 μB per atom
E_form ... -1.55 eV per atom

abc: 7.056 7.056 7.065
angles: 99.58 99.58 120.00
Sites, in units of the cell vectors:
Ce: 0.166 0.834 0.500
Ce: 0.834 0.166 0.500
Ce: 0.500 0.500 0.500
Dy: 0.333 0.667 0.000
Dy: 0.667 0.333 0.000
Th: 0.000 0.000 0.000
P: 0.917 0.580 0.751
P: 0.746 0.746 0.248
P: 0.083 0.420 0.249
P: 0.580 0.917 0.751
P: 0.254 0.254 0.752
P: 0.420 0.083 0.249

=====

Entry from the Alexandria database: a relaxed Ce2DyThP4 crystal (PBE-GGA).

Properties
Volume ... 24.17 Å³ per atom
Total magnetic moment ... 0.142 μB per atom
E_form ... -1.55 eV per atom

abc: 4.092 7.089 7.070
angles: 70.52 90.00 90.00
Sites, in units of the cell vectors:
Ce: 0.000 0.000 0.000
Ce: 0.500 0.000 0.500
Dy: 0.000 0.500 0.500
Th: 0.500 0.500 0.000
P: 0.000 0.750 0.746
P: 0.000 0.250 0.254
P: 0.500 0.748 0.254
P: 0.500 0.252 0.746

=====

Entry from the Alexandria database: a relaxed CeDyTh2P4 crystal (PBE-GGA).

Properties
Volume ... 24.33 Å³ per atom
Total magnetic moment ... 0.041 μB per atom
E_form ... -1.56 eV per atom

abc: 4.104 7.102 7.085
angles: 109.54 90.00 90.00
Sites, in units of the cell vectors:
Ce: 0.500 0.500 0.000
Dy: 0.000 0.000 0.000
Th: 0.500 0.000 0.500
Th: 0.000 0.500 0.500
P: 0.500 0.247 0.244
P: 0.500 0.753 0.756
P: 0.000 0.250 0.755
P: 0.000 0.750 0.245

=====

Entry from the Alexandria database: a relaxed CeDy3Tm2P6 crystal (PBE-GGA).

Properties
Volume ... 22.57 Å³ per atom
Total magnetic moment ... 0.021 μB per atom
E_form ... -1.60 eV per atom

abc: 6.920 6.920 6.928
angles: 99.59 99.59 119.99
Sites, in units of the cell vectors:
Ce: 0.000 0.000 0.000
Dy: 0.166 0.834 0.500
Dy: 0.834 0.166 0.500
Dy: 0.500 0.500 0.500
Tm: 0.333 0.667 0.000
Tm: 0.667 0.333 0.000
P: 0.917 0.582 0.752
P: 0.747 0.747 0.247
P: 0.083 0.418 0.248
P: 0.582 0.917 0.752
P: 0.253 0.253 0.753
P: 0.418 0.083 0.248

=====

Entry from the Alexandria database: a relaxed Ce2DyTmP4 crystal (PBE-GGA).

Properties
Volume ... 23.16 Å³ per atom
Total magnetic moment ... 0.126 μB per atom
E_form ... -1.55 eV per atom

abc: 4.035 6.990 6.969
angles: 109.53 90.00 90.00
Sites, in units of the cell vectors:
Ce: 0.500 0.000 0.500
Ce: 0.000 0.500 0.500
Dy: 0.000 0.000 0.000
Tm: 0.500 0.500 0.000
P: 0.500 0.250 0.245
P: 0.500 0.750 0.755
P: 0.000 0.254 0.756
P: 0.000 0.746 0.244

=====

Entry from the Alexandria database: a relaxed CeDy2TmP4 crystal (PBE-GGA).

Properties
Volume ... 22.77 Å³ per atom
Total magnetic moment ... 0.047 μB per atom
E_form ... -1.58 eV per atom

abc: 4.012 6.935 6.943
angles: 109.41 90.00 90.00
Sites, in units of the cell vectors:
Ce: 0.500 0.500 0.000
Dy: 0.500 0.000 0.500
Dy: 0.000 0.500 0.500
Tm: 0.000 0.000 0.000
P: 0.500 0.247 0.248
P: 0.500 0.753 0.752
P: 0.000 0.247 0.750
P: 0.000 0.753 0.250

=====

Entry from the Alexandria database: a relaxed Ce2Dy3TmP6 crystal (PBE-GGA).

Properties
Volume ... 22.97 Å³ per atom
Total magnetic moment ... 0.065 μB per atom
E_form ... -1.58 eV per atom

abc: 6.964 6.964 6.962
angles: 99.60 99.60 120.00
Sites, in units of the cell vectors:
Ce: 0.334 0.666 0.000
Ce: 0.666 0.334 0.000
Dy: 0.167 0.833 0.500
Dy: 0.833 0.167 0.500
Dy: 0.500 0.500 0.500
Tm: 0.000 0.000 0.000
P: 0.917 0.586 0.750
P: 0.753 0.753 0.251
P: 0.083 0.414 0.250
P: 0.586 0.917 0.750
P: 0.247 0.247 0.749
P: 0.414 0.083 0.250

=====

Entry from the Alexandria database: a relaxed Ce3DyU4P8 crystal (PBE-GGA).

Properties
Volume ... 22.72 Å³ per atom
Total magnetic moment ... 0.669 μB per atom
E_form ... -1.24 eV per atom

abc: 7.956 8.067 7.956
angles: 119.54 120.00 90.00
Sites, in units of the cell vectors:
Ce: 0.500 0.500 0.000
Ce: 0.500 0.500 0.500
Ce: 0.000 0.500 0.500
Dy: 0.000 0.500 0.000
U: 0.500 0.000 0.000
U: 0.500 0.000 0.500
U: 0.000 0.000 0.000
U: 0.000 0.000 0.500
P: 0.252 0.759 0.008
P: 0.252 0.759 0.504
P: 0.246 0.239 0.492
P: 0.756 0.759 0.008
P: 0.244 0.241 0.992
P: 0.754 0.761 0.508
P: 0.748 0.241 0.496
P: 0.748 0.241 0.992

=====

Entry from the Alexandria database: a relaxed CeDy2UP4 crystal (PBE-GGA).

Properties
Volume ... 22.76 Å³ per atom
Total magnetic moment ... 0.352 μB per atom
E_form ... -1.42 eV per atom

abc: 3.998 6.942 6.954
angles: 109.34 90.00 90.00
Sites, in units of the cell vectors:
Ce: 0.000 0.000 0.000
Dy: 0.500 0.000 0.500
Dy: 0.000 0.500 0.500
U: 0.500 0.500 0.000
P: 0.500 0.256 0.250
P: 0.500 0.744 0.750
P: 0.000 0.256 0.753
P: 0.000 0.744 0.247

=====

Entry from the Alexandria database: a relaxed Ce2DyUP4 crystal (PBE-GGA).

Properties
Volume ... 23.15 Å³ per atom
Total magnetic moment ... 0.440 μB per atom
E_form ... -1.39 eV per atom

abc: 4.021 6.988 6.985
angles: 109.31 90.00 90.00
Sites, in units of the cell vectors:
Ce: 0.500 0.000 0.500
Ce: 0.000 0.500 0.500
Dy: 0.000 0.000 0.000
U: 0.500 0.500 0.000
P: 0.500 0.252 0.242
P: 0.500 0.748 0.758
P: 0.000 0.256 0.760
P: 0.000 0.744 0.240

=====

Entry from the Alexandria database: a relaxed CeDy2U3P6 crystal (PBE-GGA).

Properties
Volume ... 22.41 Å³ per atom
Total magnetic moment ... 0.613 μB per atom
E_form ... -1.27 eV per atom

abc: 6.864 6.864 6.977
angles: 99.43 99.43 120.01
Sites, in units of the cell vectors:
Ce: 0.000 0.000 0.000
Dy: 0.333 0.667 0.000
Dy: 0.667 0.333 0.000
U: 0.166 0.834 0.500
U: 0.834 0.166 0.500
U: 0.500 0.500 0.500
P: 0.914 0.578 0.742
P: 0.749 0.749 0.256
P: 0.086 0.422 0.258
P: 0.578 0.914 0.742
P: 0.251 0.251 0.744
P: 0.422 0.086 0.258